[1]
The following is a GGA-PBE calculation of CdSi2Sn2 after structural relaxation, from Alexandria.

Energy relative to the elements, uncorrected: 269 meV per atom
Distance to the lowest polymorph of the same formula: 0.0322 eV/atom
Raw total energy: -3.68 eV/atom

Geometry as CIF:
```
data_CdSi2Sn2
_cell_length_a 5.0922
_cell_length_b 5.0922
_cell_length_c 9.2198
_cell_angle_alpha 90.00
_cell_angle_beta 90.00
_cell_angle_gamma 90.00
_space_group_name_H-M_alt 'I 4/m m m'
_space_group_IT_number 139
_space_group_name_Hall '-I 4 2'
loop_
_atom_site_label
_atom_site_fract_x
_atom_site_fract_y
_atom_site_fract_z
_atom_site_occupancy
Cd1 0.0000 0.0000 0.0000 1
Si1 0.0000 0.0000 0.3717 1
Sn1 0.0000 0.5000 0.2500 1
```



[2]
The following is a GGA-PBE calculation of CdSi2Sn2 after structural relaxation, from Alexandria.

Energy relative to the elements, uncorrected: 237 meV per atom
Distance to the lowest polymorph of the same formula: 0.0000 eV/atom
Raw total energy: -3.72 eV/atom

Geometry as CIF:
```
data_CdSi2Sn2
_cell_length_a 3.4645
_cell_length_b 3.4645
_cell_length_c 19.0334
_cell_angle_alpha 90.00
_cell_angle_beta 90.00
_cell_angle_gamma 90.00
_space_group_name_H-M_alt 'I 4/m m m'
_space_group_IT_number 139
_space_group_name_Hall '-I 4 2'
loop_
_atom_site_label
_atom_site_fract_x
_atom_site_fract_y
_atom_site_fract_z
_atom_site_occupancy
Cd1 0.0000 0.0000 0.0000 1
Si1 0.0000 0.5000 0.2500 1
Sn1 0.0000 0.0000 0.3848 1
```



[3]
The following is a GGA-PBE calculation of CdSi2Sn2 after structural relaxation, from Alexandria.

Energy relative to the elements, uncorrected: 317 meV per atom
Distance to the lowest polymorph of the same formula: 0.0805 eV/atom
Raw total energy: -3.64 eV/atom

Geometry as CIF:
```
data_CdSi2Sn2
_cell_length_a 7.3058
_cell_length_b 7.3058
_cell_length_c 4.2432
_cell_angle_alpha 90.00
_cell_angle_beta 90.00
_cell_angle_gamma 90.00
_space_group_name_H-M_alt 'P 4/m b m'
_space_group_IT_number 127
_space_group_name_Hall '-P 4 2ab'
loop_
_atom_site_label
_atom_site_fract_x
_atom_site_fract_y
_atom_site_fract_z
_atom_site_occupancy
Cd1 0.0000 0.0000 0.0000 1
Si1 0.1174 0.3826 0.0000 1
Sn1 0.1939 0.6939 0.5000 1
```



[4]
The following is a GGA-PBE calculation of CdSi3Sn after structural relaxation, from Alexandria.

Energy relative to the elements, uncorrected: 1159 meV per atom
Distance to the lowest polymorph of the same formula: 0.0000 eV/atom
Raw total energy: -3.08 eV/atom

Geometry as CIF:
```
data_CdSi3Sn
_cell_length_a 5.0341
_cell_length_b 5.0341
_cell_length_c 5.0341
_cell_angle_alpha 90.00
_cell_angle_beta 90.00
_cell_angle_gamma 90.00
_space_group_name_H-M_alt 'P m -3 m'
_space_group_IT_number 221
_space_group_name_Hall '-P 4 2 3'
loop_
_atom_site_label
_atom_site_fract_x
_atom_site_fract_y
_atom_site_fract_z
_atom_site_occupancy
Cd1 0.0000 0.0000 0.0000 1
Si1 0.0000 0.0000 0.5000 1
Sn1 0.5000 0.5000 0.5000 1
```



[5]
The following is a GGA-PBE calculation of Cd2SiSn after structural relaxation, from Alexandria.

Energy relative to the elements, uncorrected: 362 meV per atom
Distance to the lowest polymorph of the same formula: 0.0631 eV/atom
Raw total energy: -2.45 eV/atom

Geometry as CIF:
```
data_Cd2SiSn
_cell_length_a 7.1622
_cell_length_b 7.1622
_cell_length_c 7.1622
_cell_angle_alpha 90.00
_cell_angle_beta 90.00
_cell_angle_gamma 90.00
_space_group_name_H-M_alt 'F m -3 m'
_space_group_IT_number 225
_space_group_name_Hall '-F 4 2 3'
loop_
_atom_site_label
_atom_site_fract_x
_atom_site_fract_y
_atom_site_fract_z
_atom_site_occupancy
Cd1 0.2500 0.2500 0.2500 1
Si1 0.0000 0.0000 0.0000 1
Sn1 0.0000 0.0000 0.5000 1
```



[6]
The following is a GGA-PBE calculation of Cd3Si5Sn12 after structural relaxation, from Alexandria.

Energy relative to the elements, uncorrected: 275 meV per atom
Raw total energy: -3.62 eV/atom

Geometry as CIF:
```
data_Cd3Si5Sn12
_cell_length_a 16.5222
_cell_length_b 16.5222
_cell_length_c 16.5222
_cell_angle_alpha 90.00
_cell_angle_beta 90.00
_cell_angle_gamma 90.00
_space_group_name_H-M_alt 'I a -3 d'
_space_group_IT_number 230
_space_group_name_Hall '-I 4bd 2c 3'
loop_
_atom_site_label
_atom_site_fract_x
_atom_site_fract_y
_atom_site_fract_z
_atom_site_occupancy
Cd1 0.0000 0.2500 0.1250 1
Si1 0.0000 0.0000 0.0000 1
Si2 0.0000 0.2500 0.3750 1
Sn1 0.0276 0.0769 0.6495 1
```



[7]
The following is a GGA-PBE calculation of Cd2SiSn2 after structural relaxation, from Alexandria.

Energy relative to the elements, uncorrected: 317 meV per atom
Distance to the lowest polymorph of the same formula: 0.0000 eV/atom
Raw total energy: -2.73 eV/atom

Geometry as CIF:
```
data_Cd2SiSn2
_cell_length_a 7.2131
_cell_length_b 7.2131
_cell_length_c 4.7971
_cell_angle_alpha 90.00
_cell_angle_beta 90.00
_cell_angle_gamma 90.00
_space_group_name_H-M_alt 'P 4/m b m'
_space_group_IT_number 127
_space_group_name_Hall '-P 4 2ab'
loop_
_atom_site_label
_atom_site_fract_x
_atom_site_fract_y
_atom_site_fract_z
_atom_site_occupancy
Cd1 0.1414 0.3586 0.0000 1
Si1 0.0000 0.0000 0.0000 1
Sn1 0.1711 0.6711 0.5000 1
```



[8]
The following is a GGA-PBE calculation of Cd2SiSn2 after structural relaxation, from Alexandria.

Energy relative to the elements, uncorrected: 321 meV per atom
Distance to the lowest polymorph of the same formula: 0.0038 eV/atom
Raw total energy: -2.73 eV/atom

Geometry as CIF:
```
data_Cd2SiSn2
_cell_length_a 7.3078
_cell_length_b 7.3078
_cell_length_c 4.8589
_cell_angle_alpha 90.00
_cell_angle_beta 90.00
_cell_angle_gamma 90.00
_space_group_name_H-M_alt 'P 4/m b m'
_space_group_IT_number 127
_space_group_name_Hall '-P 4 2ab'
loop_
_atom_site_label
_atom_site_fract_x
_atom_site_fract_y
_atom_site_fract_z
_atom_site_occupancy
Cd1 0.1653 0.3347 0.0000 1
Si1 0.0000 0.0000 0.5000 1
Sn1 0.1488 0.6488 0.5000 1
```



[9]
The following is a GGA-PBE calculation of TiCdSiSn2 after structural relaxation, from Alexandria.

Energy relative to the elements, uncorrected: 330 meV per atom
Raw total energy: -4.12 eV/atom

Geometry as CIF:
```
data_TiCdSiSn2
_cell_length_a 5.3292
_cell_length_b 5.3292
_cell_length_c 4.8499
_cell_angle_alpha 90.00
_cell_angle_beta 90.00
_cell_angle_gamma 90.00
_space_group_name_H-M_alt 'P 4/m m m'
_space_group_IT_number 123
_space_group_name_Hall '-P 4 2'
loop_
_atom_site_label
_atom_site_fract_x
_atom_site_fract_y
_atom_site_fract_z
_atom_site_occupancy
Ti1 0.0000 0.0000 0.0000 1
Cd1 0.5000 0.5000 0.5000 1
Si1 0.0000 0.0000 0.5000 1
Sn1 0.0000 0.5000 0.0000 1
```



[10]
The following is a GGA-PBE calculation of SrCdSi2 after structural relaxation, from Alexandria.

Energy relative to the elements, uncorrected: -97 meV per atom
Raw total energy: -3.46 eV/atom

Geometry as CIF:
```
data_SrCdSi2
_cell_length_a 9.1264
_cell_length_b 3.8986
_cell_length_c 5.9509
_cell_angle_alpha 90.00
_cell_angle_beta 109.47
_cell_angle_gamma 90.00
_space_group_name_H-M_alt 'C 1 2/m 1'
_space_group_IT_number 12
_space_group_name_Hall '-C 2y'
loop_
_atom_site_label
_atom_site_fract_x
_atom_site_fract_y
_atom_site_fract_z
_atom_site_occupancy
Sr1 0.0000 0.0000 0.0000 1
Cd1 0.0000 0.5000 0.5000 1
Si1 0.2481 0.0000 0.6350 1
```